{"formula": "FeBCl3", "functional": "PBE", "state": "optimized geometry", "cell": [[4.816, 0.000, 0.000], [0.000, 4.816, 0.000], [0.000, 0.000, 4.816]], "species": ["Fe", "B", "Cl", "Cl", "Cl"], "frac_coords": [[0.000, 0.000, 0.000], [0.500, 0.500, 0.500], [0.000, 0.000, 0.500], [0.000, 0.500, 0.000], [0.500, 0.000, 0.000]], "final_energy_ev_per_atom": -3.64, "crystal_system": "cubic", "polymorph_energy_ev_per_atom": 0.000, "total_magnetization_mub_per_cell": 4.0}

---

{"formula": "K2Cd4Cl9", "functional": "PBE", "state": "optimized geometry", "cell": [[6.163, -3.559, 0.000], [6.163, 3.559, 0.000], [-0.006, 0.000, 19.941]], "species": ["K", "K", "K", "K", "Cd", "Cd", "Cd", "Cd", "Cd", "Cd", "Cd", "Cd", "Cl", "Cl", "Cl", "Cl", "Cl", "Cl", "Cl", "Cl", "Cl", "Cl", "Cl", "Cl", "Cl", "Cl", "Cl", "Cl", "Cl", "Cl"], "frac_coords": [[0.000, 0.000, 0.144], [0.000, 0.000, 0.356], [0.000, 0.000, 0.644], [0.000, 0.000, 0.856], [0.333, 0.333, 0.492], [0.333, 0.333, 0.992], [0.333, 0.334, 0.689], [0.334, 0.333, 0.189], [0.666, 0.667, 0.811], [0.667, 0.666, 0.311], [0.667, 0.667, 0.008], [0.667, 0.667, 0.508], [0.001, 0.660, 0.250], [0.015, 0.387, 0.079], [0.015, 0.598, 0.579], [0.339, 0.661, 0.750], [0.340, 0.999, 0.250], [0.387, 0.015, 0.579], [0.388, 0.597, 0.079], [0.402, 0.985, 0.921], [0.403, 0.612, 0.421], [0.597, 0.388, 0.579], [0.598, 0.015, 0.079], [0.612, 0.403, 0.921], [0.613, 0.985, 0.421], [0.660, 0.001, 0.750], [0.661, 0.339, 0.250], [0.985, 0.402, 0.421], [0.985, 0.613, 0.921], [0.999, 0.340, 0.750]], "final_energy_ev_per_atom": -2.71, "crystal_system": "monoclinic", "total_magnetization_mub_per_cell": 0.0}

---

{"formula": "PrHo8Er2", "functional": "PBE", "state": "optimized geometry", "cell": [[-2.731, 4.051, 7.939], [2.731, -4.051, 7.939], [2.731, 4.051, -7.939]], "species": ["Pr", "Ho", "Ho", "Ho", "Ho", "Ho", "Ho", "Ho", "Ho", "Er", "Er"], "frac_coords": [[0.000, 0.000, 0.000], [0.153, 0.860, 0.294], [0.164, 0.664, 0.500], [0.296, 0.500, 0.796], [0.434, 0.140, 0.294], [0.566, 0.860, 0.706], [0.704, 0.500, 0.204], [0.836, 0.336, 0.500], [0.847, 0.140, 0.706], [0.301, 0.301, 0.000], [0.699, 0.699, 0.000]], "final_energy_ev_per_atom": -4.48, "crystal_system": "orthorhombic", "e_form_kj_per_mol_atoms": 11, "polymorph_energy_ev_per_atom": 0.000, "total_magnetization_mub_per_cell": 0.0}

---

{"formula": "KSiAu2", "functional": "PBE", "state": "optimized geometry", "cell": [[0.000, 3.484, 3.484], [3.484, 0.000, 3.484], [3.484, 3.484, 0.000]], "species": ["K", "Si", "Au", "Au"], "frac_coords": [[0.000, 0.000, 0.000], [0.250, 0.250, 0.250], [0.500, 0.500, 0.500], [0.750, 0.750, 0.750]], "final_energy_ev_per_atom": -2.90, "crystal_system": "cubic", "total_magnetization_mub_per_cell": 0.0}

---

{"formula": "Sm4InAuO", "functional": "PBE", "state": "optimized geometry", "cell": [[3.405, -7.820, 0.000], [3.405, 7.820, 0.000], [0.000, 0.000, 6.831]], "species": ["Sm", "Sm", "Sm", "Sm", "Sm", "Sm", "Sm", "Sm", "In", "In", "Au", "Au", "O", "O"], "frac_coords": [[0.000, 0.500, 0.000], [0.000, 0.500, 0.500], [0.062, 0.938, 0.750], [0.419, 0.581, 0.750], [0.500, 0.000, 0.000], [0.500, 0.000, 0.500], [0.581, 0.419, 0.250], [0.938, 0.062, 0.250], [0.385, 0.615, 0.250], [0.615, 0.385, 0.750], [0.122, 0.878, 0.250], [0.878, 0.122, 0.750], [0.258, 0.742, 0.750], [0.742, 0.258, 0.250]], "final_energy_ev_per_atom": -5.41, "crystal_system": "orthorhombic", "total_magnetization_mub_per_cell": 0.0}

---

{"formula": "CaRe2Au", "functional": "PBE", "state": "optimized geometry", "cell": [[1.923, -1.948, 0.000], [1.923, 1.948, 0.000], [0.000, 0.000, 9.429]], "species": ["Ca", "Re", "Re", "Au"], "frac_coords": [[0.000, 0.000, 0.000], [0.500, 0.500, 0.268], [0.500, 0.500, 0.732], [0.000, 0.000, 0.500]], "final_energy_ev_per_atom": -6.84, "crystal_system": "orthorhombic", "e_form_kj_per_mol_atoms": 67, "polymorph_energy_ev_per_atom": 0.539, "total_magnetization_mub_per_cell": 0.0}

---

{"formula": "Co7Ni3Ir", "functional": "PBE", "state": "optimized geometry", "cell": [[2.442, -3.846, 0.000], [2.442, 3.846, 0.000], [-0.357, 0.000, 6.875]], "species": ["Co", "Co", "Co", "Co", "Co", "Co", "Co", "Ni", "Ni", "Ni", "Ir"], "frac_coords": [[0.000, 0.000, 0.000], [0.312, 0.841, 0.433], [0.402, 0.950, 0.790], [0.506, 0.506, 0.914], [0.686, 0.686, 0.264], [0.841, 0.312, 0.433], [0.950, 0.402, 0.790], [0.115, 0.548, 0.132], [0.359, 0.359, 0.559], [0.548, 0.115, 0.132], [0.858, 0.858, 0.630]], "final_energy_ev_per_atom": -6.77, "crystal_system": "monoclinic", "e_form_kj_per_mol_atoms": 13, "total_magnetization_mub_per_cell": 14.5}

---

{"formula": "CaYOs", "functional": "PBE", "state": "optimized geometry", "cell": [[4.775, 0.000, 0.000], [-2.387, 4.135, 0.000], [0.000, 0.000, 3.517]], "species": ["Ca", "Y", "Os"], "frac_coords": [[0.000, 0.000, 0.000], [0.333, 0.667, 0.553], [0.667, 0.333, 0.323]], "final_energy_ev_per_atom": -6.27, "crystal_system": "trigonal", "e_form_kj_per_mol_atoms": 28, "polymorph_energy_ev_per_atom": 0.207, "total_magnetization_mub_per_cell": 0.0}

---

{"formula": "TaP2AuCl", "functional": "PBE", "state": "optimized geometry", "cell": [[4.879, 0.000, 0.000], [0.000, 4.879, 0.000], [0.000, 0.000, 4.716]], "species": ["Ta", "P", "P", "Au", "Cl"], "frac_coords": [[0.000, 0.000, 0.000], [0.000, 0.500, 0.000], [0.500, 0.000, 0.000], [0.500, 0.500, 0.500], [0.000, 0.000, 0.500]], "final_energy_ev_per_atom": -5.25, "crystal_system": "tetragonal", "polymorph_energy_ev_per_atom": 0.000, "total_magnetization_mub_per_cell": 0.0}

---

{"formula": "NdEuPb2", "functional": "PBE", "state": "optimized geometry", "cell": [[3.634, 0.000, 0.000], [0.000, 3.634, 0.000], [0.000, 0.000, 9.338]], "species": ["Nd", "Eu", "Pb", "Pb"], "frac_coords": [[0.000, 0.000, 0.000], [0.000, 0.000, 0.500], [0.500, 0.500, 0.247], [0.500, 0.500, 0.753]], "final_energy_ev_per_atom": -6.14, "crystal_system": "tetragonal", "e_form_kj_per_mol_atoms": -51, "polymorph_energy_ev_per_atom": 0.000, "total_magnetization_mub_per_cell": 7.0}

---

{"formula": "Sc4Ge19Rh6", "functional": "PBE", "state": "optimized geometry", "cell": [[-5.091, 5.091, 5.091], [5.091, -5.091, 5.091], [5.091, 5.091, -5.091]], "species": ["Sc", "Sc", "Sc", "Sc", "Ge", "Ge", "Ge", "Ge", "Ge", "Ge", "Ge", "Ge", "Ge", "Ge", "Ge", "Ge", "Ge", "Ge", "Ge", "Ge", "Ge", "Ge", "Ge", "Rh", "Rh", "Rh", "Rh", "Rh", "Rh"], "frac_coords": [[0.000, 0.000, 0.348], [0.000, 0.348, 0.000], [0.348, 0.000, 0.000], [0.652, 0.652, 0.652], [0.000, 0.000, 0.000], [0.000, 0.218, 0.665], [0.000, 0.298, 0.298], [0.000, 0.664, 0.217], [0.000, 0.702, 0.702], [0.217, 0.000, 0.664], [0.218, 0.665, 0.000], [0.298, 0.000, 0.298], [0.298, 0.298, 0.000], [0.335, 0.553, 0.336], [0.336, 0.335, 0.553], [0.447, 0.782, 0.783], [0.553, 0.336, 0.335], [0.664, 0.217, 0.000], [0.665, 0.000, 0.218], [0.702, 0.000, 0.702], [0.702, 0.702, 0.000], [0.782, 0.783, 0.447], [0.783, 0.447, 0.782], [0.142, 0.500, 0.642], [0.358, 0.858, 0.500], [0.500, 0.358, 0.858], [0.500, 0.642, 0.142], [0.642, 0.142, 0.500], [0.858, 0.500, 0.358]], "final_energy_ev_per_atom": -5.58, "crystal_system": "cubic", "e_form_kj_per_mol_atoms": -15, "total_magnetization_mub_per_cell": 0.0}

---

{"formula": "CaGa4Pb", "functional": "PBE", "state": "optimized geometry", "cell": [[0.000, 4.060, 4.060], [4.060, 0.000, 4.060], [4.060, 4.060, 0.000]], "species": ["Ca", "Ga", "Ga", "Ga", "Ga", "Pb"], "frac_coords": [[0.000, 0.000, 0.000], [0.375, 0.375, 0.375], [0.375, 0.375, 0.876], [0.375, 0.876, 0.375], [0.876, 0.375, 0.375], [0.750, 0.750, 0.750]], "final_energy_ev_per_atom": -3.17, "crystal_system": "cubic", "e_form_kj_per_mol_atoms": -19, "total_magnetization_mub_per_cell": 0.0}

---

{"formula": "Cs2Np2ScTe6", "functional": "PBE", "state": "optimized geometry", "cell": [[3.821, -6.593, 0.000], [3.821, 6.593, 0.000], [-2.616, 0.000, 9.140]], "species": ["Cs", "Cs", "Np", "Np", "Sc", "Te", "Te", "Te", "Te", "Te", "Te"], "frac_coords": [[0.169, 0.831, 0.000], [0.831, 0.169, 0.000], [0.333, 0.667, 0.500], [0.667, 0.333, 0.500], [0.000, 0.000, 0.500], [0.066, 0.386, 0.686], [0.261, 0.261, 0.316], [0.386, 0.066, 0.686], [0.614, 0.934, 0.314], [0.739, 0.739, 0.684], [0.934, 0.614, 0.314]], "final_energy_ev_per_atom": -5.75, "crystal_system": "monoclinic", "total_magnetization_mub_per_cell": 7.0}

---

{"formula": "K2LiTc", "functional": "PBE", "state": "optimized geometry", "cell": [[3.526, -5.592, 0.000], [3.526, 5.592, 0.000], [0.000, 0.000, 3.140]], "species": ["K", "K", "Li", "Tc"], "frac_coords": [[0.000, 0.500, 0.000], [0.500, 0.000, 0.000], [0.000, 0.000, 0.500], [0.500, 0.500, 0.500]], "final_energy_ev_per_atom": -2.47, "crystal_system": "orthorhombic", "e_form_kj_per_mol_atoms": 111, "polymorph_energy_ev_per_atom": 0.244, "total_magnetization_mub_per_cell": 2.7}

---

{"formula": "MoPt2Rh3", "functional": "PBE", "state": "optimized geometry", "cell": [[4.460, 0.000, 0.000], [0.000, 8.359, 0.000], [0.000, 0.000, 4.779]], "species": ["Mo", "Mo", "Pt", "Pt", "Pt", "Pt", "Rh", "Rh", "Rh", "Rh", "Rh", "Rh"], "frac_coords": [[0.250, 0.250, 0.083], [0.750, 0.750, 0.917], [0.250, 0.583, 0.083], [0.250, 0.917, 0.083], [0.750, 0.083, 0.917], [0.750, 0.417, 0.917], [0.250, 0.088, 0.577], [0.250, 0.412, 0.577], [0.250, 0.750, 0.584], [0.750, 0.250, 0.416], [0.750, 0.588, 0.423], [0.750, 0.912, 0.423]], "final_energy_ev_per_atom": -7.69, "crystal_system": "orthorhombic", "e_form_kj_per_mol_atoms": -19, "polymorph_energy_ev_per_atom": 0.000, "total_magnetization_mub_per_cell": 0.0}

---

{"formula": "Pm3Zn9In2", "functional": "PBE", "state": "optimized geometry", "cell": [[-2.237, 4.692, 6.690], [2.237, -4.692, 6.690], [2.237, 4.692, -6.690]], "species": ["Pm", "Pm", "Pm", "Zn", "Zn", "Zn", "Zn", "Zn", "Zn", "Zn", "Zn", "Zn", "In", "In"], "frac_coords": [[0.000, 0.000, 0.000], [0.296, 0.296, 0.000], [0.704, 0.704, 0.000], [0.031, 0.663, 0.368], [0.125, 0.851, 0.273], [0.296, 0.663, 0.632], [0.422, 0.149, 0.273], [0.500, 0.000, 0.500], [0.578, 0.851, 0.727], [0.704, 0.337, 0.368], [0.875, 0.149, 0.727], [0.969, 0.337, 0.632], [0.302, 0.500, 0.802], [0.698, 0.500, 0.198]], "final_energy_ev_per_atom": -2.55, "crystal_system": "orthorhombic", "e_form_kj_per_mol_atoms": -31, "total_magnetization_mub_per_cell": 0.0}

---

{"formula": "Na3La2NpS6", "functional": "PBE", "state": "optimized geometry", "cell": [[3.614, -6.263, 0.000], [3.614, 6.263, 0.000], [-2.403, 0.000, 6.655]], "species": ["Na", "Na", "Na", "La", "La", "Np", "S", "S", "S", "S", "S", "S"], "frac_coords": [[0.000, 0.000, 0.000], [0.335, 0.665, 0.000], [0.665, 0.335, 0.000], [0.167, 0.833, 0.500], [0.833, 0.167, 0.500], [0.500, 0.500, 0.500], [0.098, 0.423, 0.267], [0.252, 0.252, 0.731], [0.423, 0.098, 0.267], [0.577, 0.902, 0.733], [0.748, 0.748, 0.269], [0.902, 0.577, 0.733]], "final_energy_ev_per_atom": -5.97, "crystal_system": "monoclinic", "total_magnetization_mub_per_cell": 4.0}

---

{"formula": "Rb2CrSiI6", "functional": "PBE", "state": "optimized geometry", "cell": [[-4.094, 4.094, 5.796], [4.094, -4.094, 5.796], [4.094, 4.094, -5.796]], "species": ["Rb", "Rb", "Cr", "Si", "I", "I", "I", "I", "I", "I"], "frac_coords": [[0.250, 0.750, 0.500], [0.750, 0.250, 0.500], [0.000, 0.000, 0.000], [0.500, 0.500, 0.000], [0.247, 0.247, 0.000], [0.247, 0.247, 0.495], [0.247, 0.753, 0.000], [0.753, 0.247, 0.000], [0.753, 0.753, 0.000], [0.753, 0.753, 0.505]], "final_energy_ev_per_atom": -3.29, "crystal_system": "tetragonal", "total_magnetization_mub_per_cell": 4.0}

---

{"formula": "BaGa7Cu12", "functional": "PBE", "state": "optimized geometry", "cell": [[6.320, 3.649, 2.230], [-6.320, 3.649, 2.230], [0.000, -7.298, 2.230]], "species": ["Ba", "Ga", "Ga", "Ga", "Ga", "Ga", "Ga", "Ga", "Cu", "Cu", "Cu", "Cu", "Cu", "Cu", "Cu", "Cu", "Cu", "Cu", "Cu", "Cu"], "frac_coords": [[0.000, 0.000, 0.000], [0.202, 0.202, 0.551], [0.202, 0.551, 0.202], [0.449, 0.798, 0.798], [0.500, 0.500, 0.500], [0.551, 0.202, 0.202], [0.798, 0.449, 0.798], [0.798, 0.798, 0.449], [0.000, 0.278, 0.722], [0.000, 0.722, 0.278], [0.045, 0.391, 0.391], [0.278, 0.000, 0.722], [0.278, 0.722, 0.000], [0.391, 0.045, 0.391], [0.391, 0.391, 0.045], [0.609, 0.609, 0.955], [0.609, 0.955, 0.609], [0.722, 0.000, 0.278], [0.722, 0.278, 0.000], [0.955, 0.609, 0.609]], "final_energy_ev_per_atom": -3.61, "crystal_system": "trigonal", "e_form_kj_per_mol_atoms": 1, "total_magnetization_mub_per_cell": 0.0}

---

{"formula": "DyZrS2O", "functional": "PBE", "state": "optimized geometry", "cell": [[3.752, 0.000, 0.000], [0.000, 3.752, 0.000], [0.000, 0.000, 13.181]], "species": ["Dy", "Dy", "Zr", "Zr", "S", "S", "S", "S", "O", "O"], "frac_coords": [[0.250, 0.250, 0.090], [0.750, 0.750, 0.910], [0.250, 0.250, 0.605], [0.750, 0.750, 0.395], [0.250, 0.250, 0.398], [0.250, 0.250, 0.791], [0.750, 0.750, 0.209], [0.750, 0.750, 0.602], [0.250, 0.750, 0.000], [0.750, 0.250, 0.000]], "final_energy_ev_per_atom": -7.56, "crystal_system": "tetragonal", "total_magnetization_mub_per_cell": 0.0}